Record 1
DFT (PBE) results for Pm2UPbO8 after structural relaxation.

## Properties
spin magnetization: 0.000 μB/f.u.
calculated volume: 166.17 Å³/f.u.
energy relative to the elements, uncorrected: -2.701 eV/atom

abc: 3.795 5.482 8.025
angles: 84.44 89.84 88.96
Space group P-1 (No. 2)
Symmetry-distinct sites (fractional):
Pm 0.001 0.015 0.249 [2 per cell]
U 0.500 0.500 0.500 [1 per cell]
Pb 0.500 0.500 0.000 [1 per cell]
O 0.011 0.724 0.520 [2 per cell]
O 0.012 0.745 0.026 [2 per cell]
O 0.491 0.246 0.698 [2 per cell]
O 0.493 0.284 0.244 [2 per cell]

---

Record 2
DFT (PBE) results for PmUPb2O6 after structural relaxation.

## Properties
spin magnetization: 1.000 μB/f.u.
calculated volume: 164.44 Å³/f.u.
energy relative to the elements, uncorrected: -2.445 eV/atom

abc: 6.064 6.232 10.590
angles: 90.00 124.74 90.00
Space group P2_1/c (No. 14)
Symmetry-distinct sites (fractional):
Pm 0.000 0.000 0.000 [2 per cell]
U 0.500 0.000 0.500 [2 per cell]
Pb 0.242 0.030 0.748 [4 per cell]
O 0.156 0.184 0.451 [4 per cell]
O 0.266 0.708 0.446 [4 per cell]
O 0.365 0.030 0.261 [4 per cell]